--- one ---
An optimized crystal structure of Li2ScCl5, computed with PBE-GGA.

Cell: 10.5686 8.1010 6.4095 Å, 90.00 119.96 90.00°
Fractional coordinates of all 16 atoms:
Li1 0.0000 0.2185 0.0000
Li2 0.0000 0.7815 0.0000
Li3 0.5000 0.2815 0.0000
Li4 0.5000 0.7185 0.0000
Sc1 0.3028 0.5000 0.2356
Sc2 0.8028 0.0000 0.2356
Cl1 0.0499 0.5000 0.1648
Cl2 0.0551 0.0000 0.2945
Cl3 0.2448 0.2515 0.0033
Cl4 0.2448 0.7485 0.0033
Cl5 0.3993 0.5000 0.6691
Cl6 0.5499 0.0000 0.1648
Cl7 0.5551 0.5000 0.2945
Cl8 0.7448 0.2485 0.0033
Cl9 0.7448 0.7515 0.0033
Cl10 0.8993 0.0000 0.6691

## Properties
Its volume is 475.4 Å³ per cell.

--- two ---
An optimized crystal structure of Li2ScCl5, computed with PBE-GGA.

Cell: 6.7162 6.7162 12.6444 Å, 90.00 90.00 136.66°
Fractional coordinates of all 16 atoms:
Li1 0.1471 0.8529 0.5434
Li2 0.1471 0.8529 0.9566
Li3 0.8529 0.1471 0.0434
Li4 0.8529 0.1471 0.4566
Sc1 0.1887 0.8113 0.2500
Sc2 0.8113 0.1887 0.7500
Cl1 0.0447 0.9553 0.1207
Cl2 0.0447 0.9553 0.3793
Cl3 0.2757 0.7243 0.7500
Cl4 0.3143 0.6857 0.0894
Cl5 0.3143 0.6857 0.4106
Cl6 0.6857 0.3143 0.5894
Cl7 0.6857 0.3143 0.9106
Cl8 0.7243 0.2757 0.2500
Cl9 0.9553 0.0447 0.6207
Cl10 0.9553 0.0447 0.8793

## Properties
Its volume is 391.5 Å³ per cell.

two (8 meV per atom below the next structure)